Compound: GaCoCl6
Source: Alexandria via LeMat-Bulk
Functional: PBE-GGA
Structure: relaxed

## Properties
Symmetry = No. 12
E = -3.317 eV/atom
ΔE_f (raw) = -64.2 kJ/mol of atoms

Structure (POSCAR):
```
GaCoCl6
1.0
6.661 -0.600 -1.904
-3.619 4.574 -1.414
0.231 1.003 6.847
Cl Ga Co
6 1 1
direct
0.891 0.131 0.260
0.631 0.871 0.740
0.109 0.869 0.740
0.268 0.535 0.000
0.369 0.129 0.260
0.732 0.465 0.000
0.000 0.000 0.000
0.500 0.000 0.000
```